No. 1
First-principles (PBE-GGA) data for an optimized crystal structure of CrHgMoPd2, as listed in Alexandria via LeMat-Bulk.

Unit cell a=4.983 b=4.983 c=4.947 alpha=90.00 beta=90.00 gamma=90.00
Fractional coordinates of all 5 atoms:
Cr1 0.000 0.000 0.000
Hg1 0.000 0.000 0.500
Mo1 0.500 0.500 0.000
Pd1 0.000 0.500 0.500
Pd2 0.500 0.000 0.500

Calculated volume   24.573 A^3/atom
N(E_F)   0.381 states/eV per atom
SG   No. 123
Energy of formation from the pure elements   1.567 eV per atom
Magnetic moment   0.11 μB per formula unit


No. 2
First-principles (PBE-GGA) data for an optimized crystal structure of Cr2HgMoRh, as listed in Alexandria via LeMat-Bulk.

Unit cell a=4.642 b=4.642 c=4.935 alpha=90.00 beta=90.00 gamma=90.00
Fractional coordinates of all 5 atoms:
Cr1 0.000 0.500 0.000
Cr2 0.500 0.000 0.000
Hg1 0.000 0.000 0.000
Mo1 0.000 0.000 0.500
Rh1 0.500 0.500 0.500

Calculated volume   21.265 A^3/atom
N(E_F)   2.127 states/eV per atom
SG   No. 123
Energy of formation from the pure elements   2.669 eV per atom
Magnetic moment   1.33 μB per formula unit


No. 3
First-principles (PBE-GGA) data for an optimized crystal structure of CrSnHg2Mo, as listed in Alexandria via LeMat-Bulk.

Unit cell a=5.232 b=5.232 c=4.271 alpha=90.00 beta=90.00 gamma=90.00
Fractional coordinates of all 5 atoms:
Cr1 0.000 0.000 0.000
Sn1 0.500 0.500 0.500
Hg1 0.000 0.500 0.000
Hg2 0.500 0.000 0.000
Mo1 0.000 0.000 0.500

Calculated volume   23.377 A^3/atom
N(E_F)   1.256 states/eV per atom
SG   No. 123
Energy of formation from the pure elements   0.981 eV per atom
Magnetic moment   0.02 μB per formula unit


No. 4
First-principles (PBE-GGA) data for an optimized crystal structure of TiCrHgMo2, as listed in Alexandria via LeMat-Bulk.

Unit cell a=4.999 b=4.999 c=4.788 alpha=90.00 beta=90.00 gamma=90.00
Fractional coordinates of all 5 atoms:
Ti1 0.000 0.000 0.000
Cr1 0.500 0.500 0.000
Hg1 0.000 0.000 0.500
Mo1 0.000 0.500 0.500
Mo2 0.500 0.000 0.500

Calculated volume   23.927 A^3/atom
N(E_F)   1.701 states/eV per atom
SG   No. 123
Energy of formation from the pure elements   2.621 eV per atom
Magnetic moment   3.33 μB per formula unit


No. 5
First-principles (PBE-GGA) data for an optimized crystal structure of YCrHg2Mo, as listed in Alexandria via LeMat-Bulk.

Unit cell a=5.115 b=5.115 c=5.018 alpha=90.00 beta=90.00 gamma=90.00
Fractional coordinates of all 5 atoms:
Y1 0.000 0.000 0.000
Cr1 0.000 0.000 0.500
Hg1 0.000 0.500 0.500
Hg2 0.500 0.000 0.500
Mo1 0.500 0.500 0.000

Offset from the most stable computed form   0 meV per atom
Calculated volume   26.259 A^3/atom
N(E_F)   0.708 states/eV per atom
SG   No. 123
Energy of formation from the pure elements   1.188 eV per atom
Magnetic moment   7.38 μB per formula unit


No. 6
First-principles (PBE-GGA) data for an optimized crystal structure of YCrHg2Mo, as listed in Alexandria via LeMat-Bulk.

Unit cell a=5.369 b=5.369 c=4.377 alpha=90.00 beta=90.00 gamma=90.00
Fractional coordinates of all 5 atoms:
Y1 0.000 0.000 0.000
Cr1 0.000 0.000 0.500
Hg1 0.000 0.500 0.000
Hg2 0.500 0.000 0.000
Mo1 0.500 0.500 0.500

Offset from the most stable computed form   976 meV per atom
Calculated volume   25.232 A^3/atom
N(E_F)   2.072 states/eV per atom
SG   No. 123
Energy of formation from the pure elements   2.164 eV per atom
Magnetic moment   0.00 μB per formula unit


No. 7
First-principles (PBE-GGA) data for an optimized crystal structure of CrHgN, as listed in Alexandria via LeMat-Bulk.

Unit cell a=2.822 b=2.822 c=11.554 alpha=90.00 beta=90.00 gamma=90.00
Fractional coordinates of all 6 atoms:
Cr1 0.250 0.250 0.075
Cr2 0.750 0.750 0.925
Hg1 0.250 0.250 0.350
Hg2 0.750 0.750 0.650
N1 0.250 0.250 0.907
N2 0.750 0.750 0.093

Electronic total energy   -18.6 eV per formula unit
Calculated volume   15.339 A^3/atom
N(E_F)   0.581 states/eV per atom
SG   No. 129
Magnetic moment   0.00 μB per formula unit


No. 8
First-principles (PBE-GGA) data for an optimized crystal structure of CrHg3N, as listed in Alexandria via LeMat-Bulk.

Unit cell a=4.752 b=4.752 c=4.752 alpha=90.00 beta=90.00 gamma=90.00
Fractional coordinates of all 5 atoms:
Cr1 0.000 0.000 0.000
Hg1 0.000 0.500 0.500
Hg2 0.500 0.000 0.500
Hg3 0.500 0.500 0.000
N1 0.500 0.500 0.500

Offset from the most stable computed form   0 meV per atom
Calculated volume   21.459 A^3/atom
N(E_F)   0.580 states/eV per atom
SG   No. 221
Magnetic moment   4.80 μB per formula unit


What is the magnetic moment in the seventh record?
0.00 μB per formula unit


N(E_F) of number 5 (YCrHg2Mo)?
0.708 states/eV per atom